# 1
Computed, not measured: a relaxed structure of ReSeBr2 at the PBE level of DFT.

Size of the total moment (Bohr magnetons per cell): 0.0
Formation energy without anion corrections (eV per atom): 0.20
Symmetry: R3m, No. 160
Energy relative to the lowest polymorph listed for this composition (meV per atom): 153.0

Lattice parameters (Å, degrees): 10.3809 10.3809 10.3809 18.15 18.15 18.15
With the nearest neighbours (Å) after each atom.
Positions (direct):
1 Se 0.7757 0.7757 0.7757  3 Re 2.49
2 Re 0.4954 0.4954 0.4954  3 Se 2.49, 3 Br 2.71
3 Br 0.0036 0.0036 0.0036  6 Br 3.27
4 Br 0.2253 0.2253 0.2253  3 Re 2.71

=====

# 2
Computed, not measured: a relaxed structure of Ge2PdW at the PBE level of DFT.

Size of the total moment (Bohr magnetons per cell): 0.0
Symmetry: R-3m, No. 166
Energy relative to the lowest polymorph listed for this composition (meV per atom): 80.6

Lattice parameters (Å, degrees): 2.8978 2.8978 9.4279 81.16 81.16 60.00
With the nearest neighbours (Å) after each atom.
Positions (direct):
1 Pd 0.5000 0.5000 0.5000  6 Ge 2.64, 6 Pd 2.90
2 Ge 0.0935 0.0935 0.7194  1 W 2.60, 3 Pd 2.64, 6 Ge 2.90
3 Ge 0.9065 0.9065 0.2806  1 W 2.60, 3 Pd 2.64, 6 Ge 2.90
4 W 0.0000 0.0000 0.0000  2 Ge 2.60, 6 W 2.90

=====

Look up the energy relative to the lowest polymorph listed for this composition of the first one.
153.0 meV per atom